DFT (PBE) results for crystalline MgIn6Hg at its relaxed geometry.

Lattice parameters (Å, degrees): 4.652 4.652 9.610 90.00 90.00 90.00
Atoms (fractional coordinates):
In1 0.000 0.500 0.742
In2 0.500 0.000 0.258
In3 0.000 0.500 0.258
In4 0.500 0.500 0.500
In5 0.500 0.500 0.000
In6 0.500 0.000 0.742
Mg1 0.000 0.000 0.500
Hg1 0.000 0.000 0.000

As for the space group: P4/mmm (123). The value obtained for the spin magnetization is 0.00 μB per cell. For the calculated formation energy, the calculation gives -0.0111 eV per atom.